## PrSm8Sc3 (GGA-PBE)

Data for an optimized crystal structure of PrSm8Sc3.

Computed properties:
E_tot = -5.079 eV/atom
Energy relative to the elements = 0.049 eV/atom

Lattice parameters (Å, degrees): 10.8053 11.3349 6.2232 90.00 90.00 90.00
Space group Imm2 (No. 44)
Inequivalent atoms, fractional coordinates:
Pr 0.0000 0.0000 0.0000 [2 per cell]
Sm 0.1590 0.5000 0.5209 [4 per cell]
Sm 0.1641 0.0000 0.5126 [4 per cell]
Sm 0.1637 0.2551 0.1751 [8 per cell]
Sc 0.0000 0.2531 0.6829 [4 per cell]
Sc 0.0000 0.5000 0.0040 [2 per cell]